Computed, not measured: an optimized crystal structure of NiIr2Br at the PBE level of DFT.

Raw formation energy: 0.866 eV/atom
Relative energy among the computed polymorphs: 397.1 meV/atom
Spin magnetization: 0.00 Bohr magnetons per cell

Unit cell a=2.8013 b=4.6016 c=9.5950 alpha=90.00 beta=90.00 gamma=90.00
With the nearest neighbours (Å) after each atom.
Space group Imm2 (No. 44)
Unique sites:
Ni  0.0000  0.0000  0.0000 (multiplicity 2)  6 Ir 2.70, 2 Ni 2.80
Ir  0.0000  0.0000  0.5256 (multiplicity 2)  4 Ir 2.65-2.80, 4 Ni 2.70, 2 Br 2.72
Ir  0.0000  0.5000  0.2597 (multiplicity 2)  4 Ir 2.65-2.80, 2 Ni 2.70, 4 Br 2.70
Br  0.0000  0.5000  0.7822 (multiplicity 2)  6 Ir 2.70-2.72, 2 Br 2.80